1.
{
  "formula": "YAlBr2",
  "functional": "PBE",
  "state": "optimized geometry",
  "volume_a3_per_fu": 159,
  "e_form_raw_ev_per_atom": -0.267,
  "cell": [[7.115, 0.000, 0.000], [0.000, 7.115, 0.000], [3.557, 3.557, 6.285]],
  "species": ["Br", "Br", "Br", "Br", "Al", "Al", "Y", "Y"],
  "frac_coords": [[0.375, 0.324, 0.750], [0.074, 0.625, 0.250], [0.875, 0.926, 0.750], [0.676, 0.125, 0.250], [0.250, 0.750, 0.500], [0.500, 0.500, 0.000], [0.750, 0.250, 0.500], [0.000, 0.000, 0.000]]
}

2.
{
  "formula": "YAl2Br",
  "functional": "PBE",
  "state": "optimized geometry",
  "volume_a3_per_fu": 100,
  "e_form_raw_ev_per_atom": 0.221,
  "cell": [[0.528, -5.076, -1.055], [-0.926, -3.542, 3.708], [-4.214, -3.050, -0.305]],
  "species": ["Y", "Br", "Al", "Al"],
  "frac_coords": [[0.500, 0.500, 0.500], [0.000, 0.000, 0.000], [0.750, 0.750, 0.750], [0.250, 0.250, 0.250]]
}

3.
{
  "formula": "YAl2Br",
  "functional": "PBE",
  "state": "optimized geometry",
  "volume_a3_per_fu": 93,
  "e_form_raw_ev_per_atom": -0.164,
  "cell": [[-3.604, -0.367, 4.187], [1.178, -4.721, -2.642], [2.543, -0.563, 2.140]],
  "species": ["Y", "Br", "Al", "Al"],
  "frac_coords": [[0.000, 0.500, 0.500], [0.500, 0.000, 0.500], [0.000, 0.000, 0.000], [0.500, 0.500, 0.000]]
}

4.
{
  "formula": "YAl2Br8",
  "functional": "PBE",
  "state": "optimized geometry",
  "volume_a3_per_fu": 452,
  "e_form_raw_ev_per_atom": -1.218,
  "cell": [[-2.725, -5.111, -3.477], [3.451, -6.164, 4.495], [-5.754, -2.086, 5.714]],
  "species": ["Br", "Br", "Br", "Br", "Br", "Br", "Br", "Br", "Al", "Al", "Y"],
  "frac_coords": [[0.236, 0.280, 0.924], [0.775, 0.636, 0.636], [0.225, 0.364, 0.364], [0.236, 0.924, 0.280], [0.764, 0.720, 0.076], [0.713, 0.184, 0.184], [0.764, 0.076, 0.720], [0.287, 0.816, 0.816], [0.648, 0.804, 0.804], [0.352, 0.196, 0.196], [0.000, 0.000, 0.000]]
}

5.
{
  "formula": "Y2Al2Br",
  "functional": "PBE",
  "state": "optimized geometry",
  "volume_a3_per_fu": 132,
  "e_form_raw_ev_per_atom": -0.524,
  "cell": [[7.799, 0.000, 0.000], [0.000, 7.799, 0.000], [0.000, 0.000, 4.329]],
  "species": ["Y", "Y", "Y", "Y", "Al", "Al", "Al", "Al", "Br", "Br"],
  "frac_coords": [[0.174, 0.326, 0.000], [0.674, 0.174, 0.000], [0.826, 0.674, 0.000], [0.326, 0.826, 0.000], [0.883, 0.383, 0.500], [0.617, 0.883, 0.500], [0.383, 0.117, 0.500], [0.117, 0.617, 0.500], [0.500, 0.500, 0.000], [0.000, 0.000, 0.000]]
}

6.
{
  "formula": "YAl2Br",
  "functional": "PBE",
  "state": "optimized geometry",
  "volume_a3_per_fu": 104,
  "e_form_raw_ev_per_atom": -0.395,
  "cell": [[-0.679, 2.243, -2.575], [1.535, -2.146, -2.271], [-7.525, -3.892, -1.407]],
  "species": ["Y", "Al", "Al", "Br"],
  "frac_coords": [[0.500, 0.500, 0.773], [0.500, 0.500, 0.153], [0.000, 0.000, 0.008], [0.000, 0.000, 0.565]]
}